Entry 1:
Here is an optimized crystal structure of NaMg2Pb5 from Alexandria. Energies are from PBE-GGA.

Relative energy among the computed polymorphs in meV per atom: 33.9
Crystal system: orthorhombic
Energy of formation in eV/atom: 0.0091
Volume in Å³ per atom: 30.3
Total energy in eV/atom: -2.872
Space group: No. 71

The structure in extended XYZ format:
```
8
Lattice="4.3142 0.0000 -0.8571 -0.5816 6.2233 -2.9274 -0.4619 0.3447 8.9611" Properties=species:S:1:pos:R:3 pbc="T T T"
Na 0.0000 0.0000 0.0000
Pb 1.1967 1.0485 6.0234
Pb 2.3622 2.4355 0.6039
Pb -0.2908 3.1116 -1.4637
Pb 2.0740 5.5195 -0.8468
Pb 0.9085 4.1325 4.5726
Mg 0.3111 4.5930 1.5659
Mg 2.9596 1.9750 3.6107
```

Entry 2:
Here is an optimized crystal structure of LiPrCoGe2 from Alexandria. Energies are from PBE-GGA.

Crystal system: tetragonal
Energy of formation in eV/atom: -0.5237
Volume in Å³ per atom: 17.7
Total energy in eV/atom: -5.130
Space group: No. 119

The structure in extended XYZ format:
```
5
Lattice="4.1795 0.0000 0.0000 0.0000 4.1795 0.0000 -2.0897 -2.0897 5.0783" Properties=species:S:1:pos:R:3 pbc="T T T"
Ge 0.0000 0.0000 3.7685
Ge 2.0897 2.0897 1.3097
Li 0.0000 2.0897 2.5391
Co 2.0897 0.0000 2.5391
Pr 0.0000 0.0000 0.0000
```

Entry 3:
Here is an optimized crystal structure of Pm5Er6Pu from Alexandria. Energies are from PBE-GGA.

Crystal system: monoclinic
Energy of formation in eV/atom: 0.0422
Volume in Å³ per atom: 31.6
Total energy in eV/atom: -5.413
Space group: No. 12

The structure in extended XYZ format:
```
12
Lattice="-1.6710 5.2985 -2.6897 -4.1225 3.6885 2.7444 7.9601 7.2259 4.5619" Properties=species:S:1:pos:R:3 pbc="T T T"
Pm -1.9305 2.9955 0.0174
Pm 0.9566 6.9540 3.6581
Pm -3.8630 5.9916 0.0374
Pm 1.2100 9.2590 0.9585
Pm 3.1445 6.2622 0.9361
Er 4.4995 7.0880 4.1145
Er 4.7316 9.4313 1.4064
Er -2.3329 9.1250 0.5021
Er 1.5575 3.0931 0.4658
Er 2.5376 10.0934 4.1710
Er -0.3710 6.1196 0.4457
Pu 0.0000 0.0000 0.0000
```

Entry 4:
Here is an optimized crystal structure of CaRhCl from Alexandria. Energies are from PBE-GGA.

Relative energy among the computed polymorphs in meV per atom: 549.3
Crystal system: hexagonal
Energy relative to the elements, uncorrected in eV per atom: -0.63
Volume in Å³ per atom: 19.3
Total energy in eV/atom: -4.359
Space group: No. 187

The structure in extended XYZ format:
```
3
Lattice="4.2703 0.0000 0.0000 -2.1352 3.6982 0.0000 0.0000 0.0000 3.6582" Properties=species:S:1:pos:R:3 pbc="T T T"
Cl 2.1352 1.2327 1.8302
Ca 0.0000 0.0000 3.6579
Rh 0.0000 2.4655 1.8283
```

Entry 5:
Here is an optimized crystal structure of Dy2CuPdO6 from Alexandria. Energies are from PBE-GGA.

Crystal system: monoclinic
Energy relative to the elements, uncorrected in eV per atom: -2.02
Volume in Å³ per atom: 11.7
Total energy in eV/atom: -6.840
Space group: No. 14

The structure in extended XYZ format:
```
20
Lattice="5.3444 0.0000 -0.0319 0.0000 5.8376 0.0000 0.0021 0.0000 7.4725" Properties=species:S:1:pos:R:3 pbc="T T T"
O 0.9862 1.0925 3.2928
O 2.0056 5.5618 5.6299
O 4.3786 4.7129 7.0234
O 3.3409 0.2757 1.8108
O 1.6870 4.0113 0.4276
O 1.7053 4.0435 3.3031
O 0.9679 1.1247 0.4172
O 4.6767 3.1945 1.8777
O 4.3602 4.7451 4.1479
O 0.6698 2.6431 5.5629
O 3.6411 1.7941 4.1376
O 3.6595 1.8263 7.0131
Pd 2.6732 0.0000 3.7203
Pd 0.0000 2.9188 0.0000
Dy 2.5434 2.4303 1.8531
Dy 5.2166 0.4885 5.5734
Dy 0.1298 5.3491 1.8672
Dy 2.8031 3.4073 5.5875
Cu 2.6722 0.0000 -0.0159
Cu 0.0010 2.9188 3.7363
```

Entry 6:
Here is an optimized crystal structure of Tb3PrSm4 from Alexandria. Energies are from PBE-GGA.

Relative energy among the computed polymorphs in meV per atom: 0.0
Crystal system: orthorhombic
Energy of formation in eV/atom: 0.0146
Volume in Å³ per atom: 33.3
Total energy in eV/atom: -4.679
Space group: No. 53

The structure in extended XYZ format:
```
16
Lattice="7.2340 0.0000 0.0000 0.0000 7.2294 0.0000 0.0000 0.0000 10.2012" Properties=species:S:1:pos:R:3 pbc="T T T"
Tb 1.7942 0.4381 2.5512
Tb 7.2330 5.8599 5.1006
Tb 1.7942 0.4381 7.6499
Tb 5.4398 4.0528 7.6518
Tb 5.4398 4.0528 2.5493
Tb 0.0010 2.2452 0.0000
Sm 0.0004 2.2462 5.1006
Sm 1.7938 4.0529 2.5503
Sm 5.4402 0.4382 7.6509
Sm 3.6162 5.8591 5.1006
Sm 3.6179 2.2444 0.0000
Sm 1.7938 4.0529 7.6508
Sm 7.2336 5.8608 0.0000
Sm 5.4402 0.4382 2.5502
Pr 3.6160 5.8600 0.0000
Pr 3.6181 2.2453 5.1006
```

Entry 7:
Here is an optimized crystal structure of LiTmAg6 from Alexandria. Energies are from PBE-GGA.

Relative energy among the computed polymorphs in meV per atom: 152.6
Crystal system: monoclinic
Energy of formation in eV/atom: -0.0205
Volume in Å³ per atom: 21.0
Total energy in eV/atom: -2.957
Space group: No. 12

The structure in extended XYZ format:
```
8
Lattice="-1.2923 4.5069 1.9356 -4.9747 0.4399 0.8873 -0.5145 -1.3994 7.2365" Properties=species:S:1:pos:R:3 pbc="T T T"
Ag -2.7997 -0.0264 2.7616
Ag -1.0240 1.9347 3.2671
Ag -2.7850 0.5217 7.7593
Ag -3.9965 3.0257 2.3001
Ag -5.7574 1.6127 6.7923
Ag -3.9818 3.5738 7.2978
Tm 0.0000 0.0000 0.0000
Li -3.3907 1.7737 5.0297
```

Entry 8:
Here is an optimized crystal structure of YLuMnAu from Alexandria. Energies are from PBE-GGA.

Crystal system: cubic
Energy of formation in eV/atom: -0.2707
Volume in Å³ per atom: 22.3
Total energy in eV/atom: -6.129
Space group: No. 216

The structure in extended XYZ format:
```
4
Lattice="-0.1693 4.3081 2.5690 -2.2886 0.1719 4.4633 2.7099 0.5308 4.1908" Properties=species:S:1:pos:R:3 pbc="T T T"
Lu 0.1890 3.7581 8.4173
Mn 0.1260 2.5054 5.6115
Y 0.0630 1.2527 2.8058
Au 0.0000 0.0000 0.0000
```

Entry 9:
Here is an optimized crystal structure of ScZn2H from Alexandria. Energies are from PBE-GGA.

Relative energy among the computed polymorphs in meV per atom: 285.2
Crystal system: cubic
Volume in Å³ per atom: 15.7
Total energy in eV/atom: -2.592
Space group: No. 225

The structure in extended XYZ format:
```
4
Lattice="2.9152 -3.3605 -0.2883 1.6528 -1.8414 3.7084 -1.2251 -4.1210 1.1794" Properties=species:S:1:pos:R:3 pbc="T T T"
Zn 2.5071 -6.9922 3.4496
Zn 0.8357 -2.3307 1.1499
H 0.0000 0.0000 0.0000
Sc 1.6714 -4.6615 2.2997
```

Entry 10:
Here is an optimized crystal structure of Ac3CeSn4 from Alexandria. Energies are from PBE-GGA.

Crystal system: orthorhombic
Energy of formation in eV/atom: -0.5110
Volume in Å³ per atom: 37.7
Total energy in eV/atom: -4.795
Space group: No. 71

The structure in extended XYZ format:
```
8
Lattice="-3.4354 0.4299 3.0592 3.3977 -4.6129 4.4637 4.3146 8.9861 0.0937" Properties=species:S:1:pos:R:3 pbc="T T T"
Sn 1.7504 -1.2797 5.6342
Sn 3.8954 4.2243 3.7808
Sn 2.5265 6.0827 1.9825
Sn 0.3815 0.5788 3.8359
Ac 1.6989 -2.3065 2.2319
Ac 1.7021 2.7318 1.5275
Ac 2.5748 2.0713 6.0892
Ce -1.7177 0.2149 1.5296
```

Entry 11:
Here is an optimized crystal structure of ErGaO3 from Alexandria. Energies are from PBE-GGA.

Crystal system: cubic
Energy relative to the elements, uncorrected in eV per atom: -2.40
Volume in Å³ per atom: 11.1
Total energy in eV/atom: -6.891
Space group: No. 221

The structure in extended XYZ format:
```
5
Lattice="-2.4245 0.8760 2.8167 -1.4912 -3.5098 -0.1919 2.5451 -1.2219 2.5707" Properties=species:S:1:pos:R:3 pbc="T T T"
Er 0.0000 0.0000 0.0000
O -1.9578 -1.3169 1.3124
O 0.5270 -2.3659 1.1894
O 0.0603 -0.1729 2.6937
Ga -0.6852 -1.9279 2.5978
```

Entry 12:
Here is an optimized crystal structure of BaTh3N4 from Alexandria. Energies are from PBE-GGA.

Crystal system: hexagonal
Energy relative to the elements, uncorrected in eV per atom: -1.38
Volume in Å³ per atom: 18.7
Total energy in eV/atom: -8.562
Space group: No. 194

The structure in extended XYZ format:
```
16
Lattice="-1.5948 -1.2922 3.1025 3.5994 -0.6697 -0.6589 6.0894 21.0320 11.8902" Properties=species:S:1:pos:R:3 pbc="T T T"
N 5.8632 18.6941 13.0304
N 4.5499 8.3856 5.8315
N 1.0235 3.5350 1.9985
N 5.0659 17.4970 9.8917
N 2.2309 0.3761 1.3034
N 4.0682 14.0510 7.9436
N 3.5442 10.6846 8.5023
N 2.0212 6.9810 3.9466
Th 5.6456 12.1701 7.9710
Th 0.0000 0.0000 0.0000
Th 7.2245 17.6236 11.0541
Th 2.4484 6.9000 6.3628
Th 0.8695 1.4466 3.2797
Th 3.0447 10.5160 5.9451
Ba 4.7037 14.6893 10.7663
Ba 3.3904 4.3808 3.5674
```

Look up the total energy of the twelfth one.
-8.562 eV/atom

Number 4 is which compound?
CaRhCl

The highest volume belongs to which entry?
Ac3CeSn4

Copy entry 2 word for word.
Here is an optimized crystal structure of LiPrCoGe2 from Alexandria. Energies are from PBE-GGA.

Crystal system: tetragonal
Energy of formation in eV/atom: -0.5237
Volume in Å³ per atom: 17.7
Total energy in eV/atom: -5.130
Space group: No. 119

The structure in extended XYZ format:
```
5
Lattice="4.1795 0.0000 0.0000 0.0000 4.1795 0.0000 -2.0897 -2.0897 5.0783" Properties=species:S:1:pos:R:3 pbc="T T T"
Ge 0.0000 0.0000 3.7685
Ge 2.0897 2.0897 1.3097
Li 0.0000 2.0897 2.5391
Co 2.0897 0.0000 2.5391
Pr 0.0000 0.0000 0.0000
```